Crystalline SiAgHgBi2 at its relaxed geometry, computed with GGA-PBE.

## Properties
- E: -2.464 eV/atom
- Formation energy without anion corrections: 0.8035 eV/atom

Cell: 5.528 5.528 5.184 Å, 90.00 90.00 90.00°
Space group P4/mmm (No. 123)
One atom of each set of equivalent atoms:
Si  0.000  0.000  0.000 x1
Ag  0.500  0.500  0.500 x1
Hg  0.500  0.500  0.000 x1
Bi  0.000  0.500  0.500 x2


Crystalline Sc2AgPtAu at its relaxed geometry, computed with GGA-PBE.

## Properties
- E: -4.483 eV/atom

Cell: 5.029 5.029 4.875 Å, 90.00 90.00 90.00°
Space group P4/mmm (No. 123)
One atom of each set of equivalent atoms:
Sc  0.000  0.500  0.000 x2
Ag  0.000  0.000  0.000 x1
Pt  0.500  0.500  0.500 x1
Au  0.000  0.000  0.500 x1


Crystalline Cd2Se at its relaxed geometry, computed with GGA-PBE.

## Properties
- ΔE to the lowest computed polymorph: 220 meV per atom
- E: -1.813 eV/atom
- Formation energy without anion corrections: -0.0416 eV/atom

Cell: 4.015 4.015 8.831 Å, 90.00 90.00 90.00°
Space group I4/mmm (No. 139)
One atom of each set of equivalent atoms:
Cd  0.000  0.000  0.165 x4
Se  0.000  0.000  0.500 x2


Crystalline Sr2YGe at its relaxed geometry, computed with GGA-PBE.

## Properties
- ΔE to the lowest computed polymorph: 0 meV per atom
- E: -3.628 eV/atom

Cell: 11.053 11.053 5.715 Å, 90.00 90.00 90.00°
Space group I-42d (No. 122)
One atom of each set of equivalent atoms:
Sr  0.119  0.250  0.125 x8
Y  0.000  0.000  0.500 x4
Ge  0.000  0.000  0.000 x4